First-principles (PBE-GGA) data for an optimized crystal structure of Ba5Hg2O2, as listed in the Alexandria database.

Geometry as CIF:
```
data_Ba5Hg2O2
_chemical_formula_sum 'Ba20 Hg8 O8'
_cell_length_a 10.8273
_cell_length_b 21.8122
_cell_length_c 7.7577
_cell_angle_alpha 90.00
_cell_angle_beta 134.19
_cell_angle_gamma 90.00
_symmetry_space_group_name_H-M 'C 1 2/m 1'
_symmetry_Int_Tables_number 12
loop_
_symmetry_equiv_pos_as_xyz
'x,y,z'
'-x,-y,-z'
'-x,y,-z'
'x,-y,z'
'x+1/2,y+1/2,z'
'-x+1/2,-y+1/2,-z'
'-x+1/2,y+1/2,-z'
'x+1/2,-y+1/2,z'
loop_
_atom_site_label
_atom_site_fract_x
_atom_site_fract_y
_atom_site_fract_z
_atom_site_occupancy
Ba1 0.0000 0.2411 0.0000 1
Ba2 0.0000 0.2497 0.5000 1
Ba3 0.1691 0.0000 0.3398 1
Ba4 0.2308 0.3954 0.9987 1
Hg1 0.2362 0.3531 0.4730 1
O1 0.1624 0.0000 0.0009 1
O2 0.2500 0.2500 0.0000 1
```

Summary:
Uncorrected formation energy ... -1284 meV per atom
Calculated density ... 5.66 Mg/m³
Total magnetic moment ... 0.0 Bohr magnetons per cell
Crystal system ... monoclinic